No. 1
{
  "formula": "AgW2",
  "functional": "PBE-GGA",
  "state": "relaxed",
  "crystal_system": "orthorhombic",
  "relative_energy_ev_per_atom": 0.530,
  "lattice_angstrom": [[2.6895, 0.0000, 0.0000], [0.0000, 4.5655, 0.0000], [0.0000, 0.0000, 17.8756]],
  "species": ["W", "W", "W", "W", "W", "W", "W", "W", "Ag", "Ag", "Ag", "Ag"],
  "frac_coords": [[0.5000, 0.2500, 0.4621], [0.5000, 0.7500, 0.6850], [0.0000, 0.7500, 0.9621], [0.5000, 0.2500, 0.3150], [0.0000, 0.2500, 0.1850], [0.0000, 0.2500, 0.0379], [0.5000, 0.7500, 0.5379], [0.0000, 0.7500, 0.8150], [0.5000, 0.7500, 0.1207], [0.0000, 0.7500, 0.3793], [0.0000, 0.2500, 0.6207], [0.5000, 0.2500, 0.8793]]
}

---

No. 2
{
  "formula": "ZrTlCu2Br8",
  "functional": "PBE-GGA",
  "state": "relaxed",
  "crystal_system": "monoclinic",
  "raw_formation_energy_mev_per_atom": -790,
  "lattice_angstrom": [[-6.5006, -1.0349, 0.8273], [-0.8956, -5.5211, 3.5678], [0.1565, 5.1489, 8.1088]],
  "species": ["Br", "Br", "Br", "Br", "Br", "Br", "Br", "Br", "Zr", "Cu", "Cu", "Tl"],
  "frac_coords": [[0.7543, 0.7543, 0.0005], [0.7596, 0.2444, 0.1983], [0.2457, 0.2457, 0.9995], [0.2404, 0.7556, 0.8017], [0.2444, 0.7596, 0.1983], [0.7556, 0.2404, 0.8017], [0.2958, 0.2958, 0.5420], [0.7042, 0.7042, 0.4580], [0.0000, 0.0000, 0.0000], [0.3437, 0.3437, 0.7749], [0.6563, 0.6563, 0.2251], [0.0000, 0.0000, 0.5000]]
}

---

No. 3
{
  "formula": "La3Pm3Pr",
  "functional": "PBE-GGA",
  "state": "relaxed",
  "crystal_system": "hexagonal",
  "relative_energy_ev_per_atom": 0.000,
  "lattice_angstrom": [[-4.9213, 3.3698, -0.3572], [-4.2064, -6.7685, -5.9014], [-1.1296, -0.6073, 9.8330]],
  "species": ["La", "La", "La", "La", "La", "La", "Pm", "Pm", "Pm", "Pm", "Pm", "Pm", "Pr", "Pr"],
  "frac_coords": [[0.7500, 0.9036, 0.3769], [0.7500, 0.4733, 0.0964], [0.2500, 0.5267, 0.9036], [0.2500, 0.0964, 0.6231], [0.7500, 0.6231, 0.5267], [0.2500, 0.3769, 0.4733], [0.7500, 0.0474, 0.8129], [0.2500, 0.8129, 0.7655], [0.2500, 0.9526, 0.1871], [0.2500, 0.2345, 0.0474], [0.7500, 0.7655, 0.9526], [0.7500, 0.1871, 0.2345], [0.7500, 0.3333, 0.6667], [0.2500, 0.6667, 0.3333]]
}

---

No. 4
{
  "formula": "PmSmSnO",
  "functional": "PBE-GGA",
  "state": "relaxed",
  "crystal_system": "orthorhombic",
  "raw_formation_energy_mev_per_atom": -1769,
  "lattice_angstrom": [[-2.0171, -2.9166, 1.1956], [0.8403, -1.8594, -3.1123], [6.3408, -0.2944, 4.1151]],
  "species": ["Sm", "Pm", "Sn", "O"],
  "frac_coords": [[0.6674, 0.1258, 0.3348], [0.9751, 0.4334, 0.9503], [0.3205, 0.7786, 0.6409], [0.5718, 0.5301, 0.1437]]
}

---

No. 5
{
  "formula": "Ho6Sc2Zn",
  "functional": "PBE-GGA",
  "state": "relaxed",
  "crystal_system": "orthorhombic",
  "dft_energy_ev_per_atom": -4.598,
  "lattice_angstrom": [[5.1877, 0.0000, 0.2582], [0.0000, 9.8316, 0.0001], [-0.4911, 0.0001, 9.8326]],
  "species": ["Ho", "Ho", "Ho", "Ho", "Ho", "Ho", "Ho", "Ho", "Ho", "Ho", "Ho", "Ho", "Sc", "Sc", "Sc", "Sc", "Zn", "Zn"],
  "frac_coords": [[0.5001, 0.4603, 0.6876], [0.4998, 0.8126, 0.0415], [0.5002, 0.1874, 0.9585], [0.9998, 0.6874, 0.5416], [0.9999, 0.6221, 0.8789], [0.5001, 0.1220, 0.6210], [0.9999, 0.9602, 0.8124], [0.4999, 0.5397, 0.3124], [0.0001, 0.0398, 0.1876], [0.0002, 0.3126, 0.4584], [0.4999, 0.8780, 0.3790], [0.0001, 0.3779, 0.1211], [0.0002, 0.2882, 0.7865], [0.4998, 0.7882, 0.7135], [0.5002, 0.2118, 0.2865], [0.9998, 0.7118, 0.2135], [0.5000, 0.5000, 0.0000], [0.0000, 0.0000, 0.5000]]
}

---

No. 6
{
  "formula": "KVS2",
  "functional": "PBE-GGA",
  "state": "relaxed",
  "crystal_system": "monoclinic",
  "raw_formation_energy_mev_per_atom": -1014,
  "lattice_angstrom": [[-1.9466, 3.0720, -1.2752], [-3.5684, -4.1555, -4.5638], [-2.3556, -0.6106, 7.9499]],
  "species": ["S", "S", "S", "S", "K", "K", "V", "V"],
  "frac_coords": [[0.0063, 0.4563, 0.5872], [0.6546, 0.1032, 0.8837], [0.3301, 0.5338, 0.2347], [0.3309, 0.0257, 0.2362], [0.9701, 0.9185, 0.5148], [0.6908, 0.6411, 0.9562], [0.2394, 0.1885, 0.0535], [0.4213, 0.3710, 0.4175]]
}

---

No. 7
{
  "formula": "LaAl3Pd10",
  "functional": "PBE-GGA",
  "state": "relaxed",
  "crystal_system": "cubic",
  "dft_energy_ev_per_atom": -5.505,
  "lattice_angstrom": [[7.6352, 0.0000, 4.4082], [2.5451, 7.1986, 4.4082], [0.0000, 0.0000, 8.8164]],
  "species": ["Pd", "Pd", "Pd", "Pd", "Pd", "Pd", "Pd", "Pd", "Pd", "Pd", "Pd", "Pd", "Pd", "Pd", "Pd", "Pd", "Pd", "Pd", "Pd", "Pd", "Al", "Al", "Al", "Al", "Al", "Al", "La", "La"],
  "frac_coords": [[0.6176, 0.1473, 0.6176], [0.3438, 0.6562, 0.0000], [0.3438, 0.0000, 0.6562], [0.6562, 0.0000, 0.0000], [0.6562, 0.3438, 0.0000], [0.0000, 0.6562, 0.0000], [0.6176, 0.6176, 0.6176], [0.0000, 0.0000, 0.3438], [0.3824, 0.3824, 0.8527], [0.3824, 0.3824, 0.3824], [0.6176, 0.6176, 0.1473], [0.8528, 0.3824, 0.3824], [0.3824, 0.8527, 0.3824], [0.0000, 0.3438, 0.0000], [0.1472, 0.6176, 0.6176], [0.3438, 0.0000, 0.0000], [0.0000, 0.6562, 0.3438], [0.0000, 0.0000, 0.6562], [0.0000, 0.3438, 0.6562], [0.6562, 0.0000, 0.3438], [0.2692, 0.2692, 0.7308], [0.2692, 0.7308, 0.7308], [0.7308, 0.7308, 0.2692], [0.2692, 0.7308, 0.2692], [0.7308, 0.2692, 0.2692], [0.7308, 0.2692, 0.7308], [0.7500, 0.7500, 0.7500], [0.2500, 0.2500, 0.2500]]
}

---

No. 8
{
  "formula": "Tl7Te2S2",
  "functional": "PBE-GGA",
  "state": "relaxed",
  "crystal_system": "monoclinic",
  "raw_formation_energy_mev_per_atom": -238,
  "lattice_angstrom": [[7.6559, 0.8910, -1.3080], [0.8708, 6.9370, -0.8122], [-1.7832, -0.8963, 7.5587]],
  "species": ["Tl", "Tl", "Tl", "Tl", "Tl", "Tl", "Tl", "Te", "Te", "S", "S"],
  "frac_coords": [[0.5318, 0.7375, 0.0579], [0.0000, 0.0000, 0.0000], [0.4825, 0.7717, 0.5175], [0.5175, 0.2283, 0.4825], [0.0579, 0.2625, 0.5318], [0.4682, 0.2625, 0.9421], [0.9421, 0.7375, 0.4682], [0.8185, 0.5000, 0.8185], [0.1815, 0.5000, 0.1815], [0.7473, 0.0781, 0.2527], [0.2527, 0.9219, 0.7473]]
}